Entry 1:
! PaZnCd2 (PBE, relaxed); values from VASP
&SYSTEM
  ibrav = 0, nat = 4, ntyp = 3
/
ATOMIC_SPECIES
Zn 65.41 Zn.upf
Pa 231.04 Pa.upf
Cd 112.41 Cd.upf
CELL_PARAMETERS angstrom
-2.0282 -1.9476 1.0986
-1.9176 -1.3961 -1.8674
6.1944 -9.6750 -1.5680
ATOMIC_POSITIONS crystal
Zn 0.5000 0.5000 0.5000
Pa 0.0000 0.0000 0.0000
Cd 0.0953 0.0953 0.7141
Cd 0.9047 0.9047 0.2859
! - Crystal system: trigonal
! - DFT formation energy: 276 meV/atom
! - Spin magnetization: 0.26 μB per formula unit
! - DOS at the Fermi energy: 0.987 states/eV per atom
! - Space group: R-3m (166)


Entry 2:
! AcNd2Tl (PBE, relaxed); values from VASP
&SYSTEM
  ibrav = 0, nat = 4, ntyp = 3
/
ATOMIC_SPECIES
Ac 227.00 Ac.upf
Nd 144.24 Nd.upf
Tl 204.38 Tl.upf
CELL_PARAMETERS angstrom
3.8397 0.0000 0.0000
1.9199 3.3253 0.0000
1.9199 1.1084 11.1839
ATOMIC_POSITIONS crystal
Ac 0.0000 0.0000 0.0000
Nd 0.7583 0.7583 0.7250
Nd 0.2417 0.2417 0.2750
Tl 0.5000 0.5000 0.5000
! - Crystal system: trigonal
! - DFT formation energy: -111 meV/atom
! - Spin magnetization: 0.00 μB per formula unit
! - DOS at the Fermi energy: 1.175 states/eV per atom
! - Space group: R-3m (166)


Entry 3:
! PrSmErHg (PBE, relaxed); values from VASP
&SYSTEM
  ibrav = 0, nat = 4, ntyp = 4
/
ATOMIC_SPECIES
Pr 140.91 Pr.upf
Sm 150.36 Sm.upf
Er 167.26 Er.upf
Hg 200.59 Hg.upf
CELL_PARAMETERS angstrom
-1.9956 -3.0065 0.6639
2.7943 -2.1007 -1.1142
3.1680 -0.2459 8.4087
ATOMIC_POSITIONS crystal
Pr 0.0000 0.0000 0.0777
Sm 0.5000 0.5000 0.7896
Er 0.5000 0.5000 0.3578
Hg 0.0000 0.0000 0.5596
! - Crystal system: tetragonal
! - DFT formation energy: -232 meV/atom
! - Spin magnetization: 0.00 μB per formula unit
! - DOS at the Fermi energy: 1.209 states/eV per atom
! - Space group: P4mm (99)